Entry 1:
A plane-wave DFT calculation with PBE was carried out for Pr5Nd6Tm2 after structural relaxation.

Lattice parameters (Å, degrees): 11.840 21.118 3.668 90.00 90.00 90.00
Atoms (fractional coordinates):
Pr 0.000 0.000 0.000
Pr 0.086 0.273 0.000
Pr 0.197 0.555 0.000
Pr 0.303 0.055 0.000
Pr 0.414 0.773 0.000
Pr 0.500 0.500 0.000
Pr 0.586 0.227 0.000
Pr 0.697 0.945 0.000
Pr 0.803 0.445 0.000
Pr 0.914 0.727 0.000
Nd 0.064 0.419 0.500
Nd 0.083 0.132 0.500
Nd 0.174 0.860 0.000
Nd 0.326 0.360 0.000
Nd 0.417 0.632 0.500
Nd 0.436 0.919 0.500
Nd 0.564 0.081 0.500
Nd 0.583 0.368 0.500
Nd 0.674 0.640 0.000
Nd 0.826 0.140 0.000
Nd 0.917 0.868 0.500
Nd 0.936 0.581 0.500
Tm 0.170 0.710 0.500
Tm 0.330 0.210 0.500
Tm 0.670 0.790 0.500
Tm 0.830 0.290 0.500

Properties
Space group = Pbam

Entry 2:
A plane-wave DFT calculation with PBE was carried out for Pr4Nd15Tm after structural relaxation.

Lattice parameters (Å, degrees): 5.208 5.208 25.967 90.00 90.00 90.00
Atoms (fractional coordinates):
Pr 0.000 0.000 0.101
Pr 0.000 0.000 0.302
Pr 0.000 0.000 0.698
Pr 0.000 0.000 0.899
Nd 0.000 0.500 0.000
Nd 0.000 0.500 0.201
Nd 0.000 0.500 0.402
Nd 0.000 0.500 0.598
Nd 0.000 0.500 0.799
Nd 0.500 0.000 0.000
Nd 0.500 0.000 0.201
Nd 0.500 0.000 0.402
Nd 0.500 0.000 0.598
Nd 0.500 0.000 0.799
Nd 0.500 0.500 0.101
Nd 0.500 0.500 0.302
Nd 0.500 0.500 0.500
Nd 0.500 0.500 0.698
Nd 0.500 0.500 0.899
Tm 0.000 0.000 0.500

Properties
Space group = P4/mmm

no.,size of the total moment (μB/cell),calculated total energy (eV/atom),N(E_F) (states/eV per atom)
1,0.00,-4.637,1.182
2,0.00,-4.741,1.473